# 1
This record from the Alexandria database describes Ac2AlPPt6 after structural relaxation. The functional is PBE-GGA. Values from VASP.

Geometry as Quantum ESPRESSO input:
```
&SYSTEM
  ibrav = 0, nat = 10, ntyp = 4
/
ATOMIC_SPECIES
Ac 227.00 Ac.upf
Al 26.98 Al.upf
P 30.97 P.upf
Pt 195.08 Pt.upf
CELL_PARAMETERS angstrom
-3.0532 3.0532 5.3773
3.0532 -3.0532 5.3773
3.0532 3.0532 -5.3773
ATOMIC_POSITIONS angstrom
Ac 3.0532 0.0000 0.0000
Ac 0.0000 3.0532 0.0000
Al 0.0000 0.0000 3.6503
P 0.0000 0.0000 9.3059
Pt 0.0000 0.0000 0.8864
Pt 1.6007 1.6007 2.6410
Pt 1.4525 -1.4525 8.0183
Pt 0.0000 0.0000 6.0406
Pt -1.4525 1.4525 8.0183
Pt 1.4525 1.4525 8.0183
```

Computed properties:
VASP energy in eV per atom: -6.397
Crystal system: tetragonal
ΔE_f in eV/f.u.: -10.35

***

# 2
This record from the Alexandria database describes Mn2RuPb after structural relaxation. The functional is PBE-GGA. Values from VASP.

Geometry as Quantum ESPRESSO input:
```
&SYSTEM
  ibrav = 0, nat = 4, ntyp = 3
/
ATOMIC_SPECIES
Mn 54.94 Mn.upf
Ru 101.07 Ru.upf
Pb 207.20 Pb.upf
CELL_PARAMETERS angstrom
1.5307 0.8838 8.9115
-1.5307 0.8838 8.9115
0.0000 -1.7675 8.9115
ATOMIC_POSITIONS angstrom
Mn 0.0000 0.0000 6.3550
Mn 0.0000 0.0000 20.3796
Ru 0.0000 0.0000 13.3673
Pb 0.0000 0.0000 0.0000
```

Computed properties:
VASP energy in eV per atom: -7.312
Crystal system: trigonal
ΔE_f in eV/f.u.: 2.07

***

# 3
This record from the Alexandria database describes KRb2AgCl after structural relaxation. The functional is PBE-GGA. Values from VASP.

Geometry as Quantum ESPRESSO input:
```
&SYSTEM
  ibrav = 0, nat = 5, ntyp = 4
/
ATOMIC_SPECIES
K 39.10 K.upf
Rb 85.47 Rb.upf
Ag 107.87 Ag.upf
Cl 35.45 Cl.upf
CELL_PARAMETERS angstrom
6.1130 0.0000 0.0000
0.0000 6.1130 0.0000
0.0000 0.0000 7.8526
ATOMIC_POSITIONS angstrom
K 0.0000 0.0000 0.0000
Rb 0.0000 3.0565 3.9263
Rb 3.0565 0.0000 3.9263
Ag 3.0565 3.0565 0.0000
Cl 3.0565 3.0565 3.9263
```

Computed properties:
VASP energy in eV per atom: -1.993
Crystal system: tetragonal
ΔE to the lowest computed polymorph in eV/atom: 0.186

***

# 4
This record from the Alexandria database describes Li4YAg2 after structural relaxation. The functional is PBE-GGA. Values from VASP.

Geometry as Quantum ESPRESSO input:
```
&SYSTEM
  ibrav = 0, nat = 14, ntyp = 3
/
ATOMIC_SPECIES
Li 6.94 Li.upf
Y 88.91 Y.upf
Ag 107.87 Ag.upf
CELL_PARAMETERS angstrom
7.8807 0.0000 0.0000
0.0000 7.8807 0.0000
0.0000 0.0000 4.3662
ATOMIC_POSITIONS angstrom
Li 0.7553 2.7488 0.0000
Li 1.1915 4.6956 2.1831
Li 2.7488 0.7553 0.0000
Li 3.1851 6.6892 2.1831
Li 4.6956 1.1915 2.1831
Li 5.1319 7.1255 0.0000
Li 6.6892 3.1851 2.1831
Li 7.1255 5.1319 0.0000
Y 0.0000 0.0000 2.1831
Y 3.9404 3.9404 0.0000
Ag 1.6807 6.2000 0.0000
Ag 2.2596 2.2596 2.1831
Ag 5.6211 5.6211 2.1831
Ag 6.2000 1.6807 0.0000
```

Computed properties:
VASP energy in eV per atom: -2.973
Crystal system: tetragonal
ΔE_f in eV/f.u.: -0.99

***

# 5
This record from the Alexandria database describes Sc5Hg2RuPt2 after structural relaxation. The functional is PBE-GGA. Values from VASP.

Geometry as Quantum ESPRESSO input:
```
&SYSTEM
  ibrav = 0, nat = 20, ntyp = 4
/
ATOMIC_SPECIES
Sc 44.96 Sc.upf
Hg 200.59 Hg.upf
Ru 101.07 Ru.upf
Pt 195.08 Pt.upf
CELL_PARAMETERS angstrom
11.2242 0.0000 0.0000
0.0000 11.2242 0.0000
0.0000 0.0000 3.2630
ATOMIC_POSITIONS angstrom
Sc 0.0000 5.6121 0.0000
Sc 0.8324 2.0782 0.0000
Sc 2.0782 10.3918 0.0000
Sc 3.5339 4.7797 0.0000
Sc 4.7797 7.6903 0.0000
Sc 5.6121 0.0000 0.0000
Sc 6.4445 3.5339 0.0000
Sc 7.6903 6.4445 0.0000
Sc 9.1460 0.8324 0.0000
Sc 10.3918 9.1460 0.0000
Hg 1.9075 7.5196 1.6315
Hg 3.7046 1.9075 1.6315
Hg 7.5196 9.3167 1.6315
Hg 9.3167 3.7046 1.6315
Ru 0.0000 0.0000 1.6315
Ru 5.6121 5.6121 1.6315
Pt 1.5089 4.1032 1.6315
Pt 4.1032 9.7153 1.6315
Pt 7.1210 1.5089 1.6315
Pt 9.7153 7.1210 1.6315
```

Computed properties:
VASP energy in eV per atom: -6.052
Crystal system: tetragonal
ΔE_f in eV/f.u.: -6.90

***

# 6
This record from the Alexandria database describes Li2Nd5Sb4 after structural relaxation. The functional is PBE-GGA. Values from VASP.

Geometry as Quantum ESPRESSO input:
```
&SYSTEM
  ibrav = 0, nat = 11, ntyp = 3
/
ATOMIC_SPECIES
Li 6.94 Li.upf
Nd 144.24 Nd.upf
Sb 121.76 Sb.upf
CELL_PARAMETERS angstrom
10.1337 -2.2608 0.0000
10.1337 2.2608 0.0000
-2.2325 0.0000 7.5572
ATOMIC_POSITIONS angstrom
Li 1.0866 0.0000 0.8665
Li 16.9482 0.0000 6.6907
Nd -1.1163 0.0000 3.7786
Nd 5.5887 0.0000 4.2374
Nd 6.8388 0.0000 0.6007
Nd 11.1960 0.0000 6.9565
Nd 12.4461 0.0000 3.3198
Sb 3.7895 0.0000 1.5828
Sb 8.2017 0.0000 5.8953
Sb 9.8331 0.0000 1.6618
Sb 14.2453 0.0000 5.9744
```

Computed properties:
VASP energy in eV per atom: -4.684
Crystal system: monoclinic

***

# 7
This record from the Alexandria database describes BaLa2Ru after structural relaxation. The functional is PBE-GGA. Values from VASP.

Geometry as Quantum ESPRESSO input:
```
&SYSTEM
  ibrav = 0, nat = 4, ntyp = 3
/
ATOMIC_SPECIES
Ba 137.33 Ba.upf
La 138.91 La.upf
Ru 101.07 Ru.upf
CELL_PARAMETERS angstrom
3.5826 -3.5880 0.0000
3.5826 3.5880 0.0000
0.0000 0.0000 4.5910
ATOMIC_POSITIONS angstrom
Ba 0.0000 0.0000 0.0000
La 1.7913 1.7940 2.2955
La 1.7913 -1.7940 2.2955
Ru 3.5826 0.0000 0.0000
```

Computed properties:
VASP energy in eV per atom: -4.846
Crystal system: orthorhombic
ΔE to the lowest computed polymorph in eV/atom: 0.602
ΔE_f in eV/f.u.: 1.67

***

# 8
This record from the Alexandria database describes Al2IrW after structural relaxation. The functional is PBE-GGA. Values from VASP.

Geometry as Quantum ESPRESSO input:
```
&SYSTEM
  ibrav = 0, nat = 4, ntyp = 3
/
ATOMIC_SPECIES
Al 26.98 Al.upf
Ir 192.22 Ir.upf
W 183.84 W.upf
CELL_PARAMETERS angstrom
-1.8907 1.8907 4.1588
1.8907 -1.8907 4.1588
1.8907 1.8907 -4.1588
ATOMIC_POSITIONS angstrom
Al 0.0000 0.0000 0.0000
Al 0.0000 1.8907 2.0794
Ir 1.8907 0.0000 2.0794
W 0.0000 0.0000 4.1588
```

Computed properties:
VASP energy in eV per atom: -7.550
Crystal system: tetragonal
ΔE to the lowest computed polymorph in eV/atom: 0.159
ΔE_f in eV/f.u.: -0.90